Entry A
First-principles (PBE) data for an optimized crystal structure of KLiMo2, as listed in Alexandria.

## Properties
* D(E_F): 3.58 states/eV/f.u.

Unit cell a=6.3638 b=6.3638 c=2.7150 alpha=97.18 beta=97.18 gamma=131.90
Fractional coordinates of all 4 atoms:
K1 0.0000 0.0000 0.0000
Li1 0.5000 0.5000 0.0000
Mo1 0.0000 0.5000 0.5000
Mo2 0.5000 0.0000 0.5000

***

Entry B
First-principles (PBE) data for an optimized crystal structure of KLiMo2, as listed in Alexandria.

## Properties
* D(E_F): 3.53 states/eV/f.u.

Unit cell a=4.6799 b=4.6799 c=4.6799 alpha=60.00 beta=60.00 gamma=60.00
Fractional coordinates of all 4 atoms:
K1 0.0000 0.0000 0.0000
Li1 0.5000 0.5000 0.5000
Mo1 0.2500 0.2500 0.2500
Mo2 0.7500 0.7500 0.7500

***

Quick one: most stable of them? entry A

***

Entry A
First-principles (PBE) data for an optimized crystal structure of KLiMo2, as listed in Alexandria.

## Properties
* D(E_F): 5.14 states/eV/f.u.

Unit cell a=11.3308 b=11.3308 c=11.3308 alpha=14.45 beta=14.45 gamma=14.45
Fractional coordinates of all 4 atoms:
K1 0.0000 0.0000 0.0000
Li1 0.2325 0.2325 0.2325
Mo1 0.4944 0.4944 0.4944
Mo2 0.7572 0.7572 0.7572

***

Entry B
First-principles (PBE) data for an optimized crystal structure of KLiMo2, as listed in Alexandria.

## Properties
* D(E_F): 3.39 states/eV/f.u.

Unit cell a=3.2807 b=3.2520 c=8.7916 alpha=90.00 beta=92.24 gamma=90.00
Fractional coordinates of all 4 atoms:
K1 0.0000 0.0000 0.0000
Li1 0.4707 0.5000 0.6540
Mo1 0.5052 0.5000 0.3252
Mo2 0.9564 0.0000 0.4590

***

Entry C
First-principles (PBE) data for an optimized crystal structure of KLiMo2, as listed in Alexandria.

## Properties
* D(E_F): 2.55 states/eV/f.u.

Unit cell a=4.7038 b=4.7038 c=4.7038 alpha=60.00 beta=60.00 gamma=60.00
Fractional coordinates of all 4 atoms:
K1 0.0000 0.0000 0.0000
Li1 0.7500 0.7500 0.7500
Mo1 0.2500 0.2500 0.2500
Mo2 0.5000 0.5000 0.5000

***

Entry D
First-principles (PBE) data for an optimized crystal structure of KLiMo2, as listed in Alexandria.

## Properties
* D(E_F): 5.40 states/eV/f.u.

Unit cell a=2.6222 b=2.6222 c=10.9734 alpha=90.00 beta=90.00 gamma=90.00
Fractional coordinates of all 4 atoms:
K1 0.0000 0.0000 0.0000
Li1 0.0000 0.0000 0.5000
Mo1 0.5000 0.5000 0.2886
Mo2 0.5000 0.5000 0.7114

***

Quick one: most stable of them? entry B

***

Entry A
First-principles (PBE) data for an optimized crystal structure of KLiMo2, as listed in Alexandria.

## Properties
* D(E_F): 4.15 states/eV/f.u.

Unit cell a=6.3578 b=6.3578 c=6.3578 alpha=146.09 beta=146.09 gamma=48.71
Fractional coordinates of all 4 atoms:
K1 0.0000 0.0000 0.0000
Li1 0.5000 0.5000 0.0000
Mo1 0.2500 0.7500 0.5000
Mo2 0.7500 0.2500 0.5000

***

Entry B
First-principles (PBE) data for an optimized crystal structure of KLiMo2, as listed in Alexandria.

## Properties
* D(E_F): 2.36 states/eV/f.u.

Unit cell a=6.5330 b=6.5330 c=4.9531 alpha=112.14 beta=112.14 gamma=23.15
Fractional coordinates of all 4 atoms:
K1 0.0000 0.0000 0.0000
Li1 0.5000 0.5000 0.5000
Mo1 0.2248 0.2248 0.7249
Mo2 0.7752 0.7752 0.2751

***

Quick one: most stable of them? entry B

***

Entry A
First-principles (PBE) data for an optimized crystal structure of KLiMo2, as listed in Alexandria.

## Properties
* D(E_F): 3.94 states/eV/f.u.

Unit cell a=2.9839 b=4.4560 c=5.8420 alpha=90.00 beta=90.00 gamma=90.00
Fractional coordinates of all 4 atoms:
K1 0.0000 0.0000 0.0000
Li1 0.5000 0.5000 0.0000
Mo1 0.0000 0.5000 0.5000
Mo2 0.5000 0.0000 0.5000

***

Entry B
First-principles (PBE) data for an optimized crystal structure of KLiMo2, as listed in Alexandria.

## Properties
* D(E_F): 3.60 states/eV/f.u.

Unit cell a=4.6290 b=4.6290 c=7.7351 alpha=90.03 beta=90.03 gamma=33.05
Fractional coordinates of all 4 atoms:
K1 0.0000 0.0000 0.0000
Li1 0.2515 0.2515 0.6537
Mo1 0.5092 0.5092 0.4778
Mo2 0.7525 0.7525 0.3273

***

Quick one: most stable of them? entry B